[1]
! ThNiGe2 (PBE-GGA, relaxed); values from VASP
! Final energy: -6.212 eV/atom
! ΔH_f (0 K): -0.603 eV/atom
! DOS(E_F): 2.77 states/eV per cell
&SYSTEM
  ibrav = 0, nat = 12, ntyp = 3
/
ATOMIC_SPECIES
Th 232.04 Th.upf
Ni 58.69 Ni.upf
Ge 72.64 Ge.upf
ATOMIC_POSITIONS angstrom
Th 0.000 0.000 0.000
Th 0.000 2.347 10.696
Th 2.033 1.174 5.348
Ni 0.000 0.000 8.022
Ni 0.000 2.347 2.674
Ni 2.033 1.174 13.370
Ge 0.000 0.000 3.465
Ge 0.000 0.000 12.579
Ge 0.000 2.347 7.231
Ge 0.000 2.347 14.161
Ge 2.033 1.174 1.883
Ge 2.033 1.174 8.813
CELL_PARAMETERS angstrom
4.066 0.000 0.000
-2.033 3.521 0.000
0.000 0.000 16.044

[2]
! KInTeI2 (PBE-GGA, relaxed); values from VASP
! Final energy: -2.596 eV/atom
! Relative energy among the computed polymorphs: 0.000 kcal/mol of atoms
! Energy relative to the elements, uncorrected: -0.580 eV per atom
! DOS(E_F): 4.93 states/eV per cell
&SYSTEM
  ibrav = 0, nat = 5, ntyp = 4
/
ATOMIC_SPECIES
K 39.10 K.upf
In 114.82 In.upf
Te 127.60 Te.upf
I 126.90 I.upf
ATOMIC_POSITIONS angstrom
K 0.000 0.000 0.000
In 3.070 3.070 2.855
Te 3.070 3.070 0.000
I 0.000 3.070 2.855
I 3.070 0.000 2.855
CELL_PARAMETERS angstrom
6.140 0.000 0.000
0.000 6.140 0.000
0.000 0.000 5.710

[3]
! Pm3Sm6Er2Mg (PBE-GGA, relaxed); values from VASP
! Final energy: -4.411 eV/atom
! ΔH_f (0 K): 0.030 eV/atom
! DOS(E_F): 15.05 states/eV per cell
&SYSTEM
  ibrav = 0, nat = 12, ntyp = 4
/
ATOMIC_SPECIES
Pm 145.00 Pm.upf
Sm 150.36 Sm.upf
Er 167.26 Er.upf
Mg 24.30 Mg.upf
ATOMIC_POSITIONS angstrom
Pm 0.000 0.000 0.000
Pm 3.118 1.800 0.000
Pm 3.118 -1.800 0.000
Sm 1.046 1.796 2.971
Sm -0.013 0.000 8.657
Sm 1.046 -1.796 2.971
Sm 3.097 1.796 8.641
Sm 4.156 0.000 2.955
Sm 3.097 -1.796 8.641
Er 2.071 3.607 5.806
Er 2.071 -3.607 5.806
Mg 2.071 0.000 5.806
CELL_PARAMETERS angstrom
3.118 -5.404 0.000
3.118 5.404 0.000
-2.092 0.000 11.612

[4]
! NdPu2VN4 (PBE-GGA, relaxed); values from VASP
! Final energy: -10.633 eV/atom
! Energy relative to the elements, uncorrected: -1.152 eV per atom
! DOS(E_F): 23.48 states/eV per cell
&SYSTEM
  ibrav = 0, nat = 16, ntyp = 4
/
ATOMIC_SPECIES
Nd 144.24 Nd.upf
Pu 244.00 Pu.upf
V 50.94 V.upf
N 14.01 N.upf
ATOMIC_POSITIONS angstrom
Nd 1.699 4.782 8.892
Nd 1.699 -4.782 2.964
Pu 1.699 1.539 6.440
Pu 1.699 1.539 11.344
Pu 1.699 -1.539 0.512
Pu 1.699 -1.539 5.416
V 1.699 3.880 2.964
V 1.699 -3.880 8.892
N 0.000 0.000 0.000
N 0.000 0.000 5.928
N 1.699 2.765 1.492
N 1.699 2.765 4.436
N 1.699 0.860 8.892
N 1.699 -0.860 2.964
N 1.699 -2.765 7.420
N 1.699 -2.765 10.364
CELL_PARAMETERS angstrom
1.699 -5.863 0.000
1.699 5.863 0.000
0.000 0.000 11.856

[5]
! CsCdNO2 (PBE-GGA, relaxed); values from VASP
! Final energy: -2.671 eV/atom
! Energy relative to the elements, uncorrected: 1.331 eV per atom
! DOS(E_F): 4.17 states/eV per cell
&SYSTEM
  ibrav = 0, nat = 5, ntyp = 4
/
ATOMIC_SPECIES
Cs 132.91 Cs.upf
Cd 112.41 Cd.upf
N 14.01 N.upf
O 16.00 O.upf
ATOMIC_POSITIONS angstrom
Cs 0.000 0.000 0.000
Cd 2.212 2.212 2.232
N 0.000 0.000 2.232
O 0.000 2.212 0.000
O 2.212 0.000 0.000
CELL_PARAMETERS angstrom
4.424 0.000 0.000
0.000 4.424 0.000
0.000 0.000 4.464

[6]
! Cd2HgRh (PBE-GGA, relaxed); values from VASP
! Final energy: -2.370 eV/atom
! ΔH_f (0 K): 0.001 eV/atom
! DOS(E_F): 3.36 states/eV per cell
&SYSTEM
  ibrav = 0, nat = 8, ntyp = 3
/
ATOMIC_SPECIES
Cd 112.41 Cd.upf
Hg 200.59 Hg.upf
Rh 102.91 Rh.upf
ATOMIC_POSITIONS angstrom
Cd 0.000 0.000 0.000
Cd 1.080 0.000 2.760
Cd 5.359 1.602 0.000
Cd 6.439 1.602 2.760
Hg 2.508 1.602 0.651
Hg 7.867 0.000 0.651
Rh 4.126 0.000 2.384
Rh 9.485 1.602 2.384
CELL_PARAMETERS angstrom
10.718 0.000 0.000
0.000 3.205 0.000
-2.250 0.000 4.496

[7]
! EuCdP (PBE-GGA, relaxed); values from VASP
! Final energy: -6.103 eV/atom
! ΔH_f (0 K): -0.570 eV/atom
! DOS(E_F): 10.00 states/eV per cell
&SYSTEM
  ibrav = 0, nat = 3, ntyp = 3
/
ATOMIC_SPECIES
Eu 151.96 Eu.upf
Cd 112.41 Cd.upf
P 30.97 P.upf
ATOMIC_POSITIONS angstrom
Eu 0.000 0.000 0.000
Cd 2.170 1.253 2.506
P 0.000 2.505 1.674
CELL_PARAMETERS angstrom
4.339 0.000 0.000
-2.170 3.758 0.000
0.000 0.000 4.632